[1]
Here is a relaxed structure of NbV4Ga from Alexandria. Energies are from PBE.

Computed properties:
Crystal system: cubic
Energy relative to the lowest polymorph listed for this composition (meV per atom): 98
Space group: No. 216

a b c (Å): 5.002 5.002 5.002
angles (deg): 60.00 60.00 60.00
Fractional coordinates of all 6 atoms:
Nb  0.000  0.000  0.000
V  0.119  0.627  0.627
V  0.627  0.119  0.627
V  0.627  0.627  0.119
V  0.627  0.627  0.627
Ga  0.250  0.250  0.250

***

[2]
Here is a relaxed structure of NbV4Ga from Alexandria. Energies are from PBE.

Computed properties:
Crystal system: orthorhombic
Energy relative to the lowest polymorph listed for this composition (meV per atom): 0
Space group: No. 65

a b c (Å): 4.361 9.297 4.306
angles (deg): 90.00 90.00 90.00
Fractional coordinates of all 12 atoms:
Nb  0.000  0.000  0.000
Nb  0.500  0.500  0.000
V  0.000  0.180  0.500
V  0.000  0.320  0.000
V  0.000  0.680  0.000
V  0.000  0.820  0.500
V  0.500  0.180  0.000
V  0.500  0.320  0.500
V  0.500  0.680  0.500
V  0.500  0.820  0.000
Ga  0.000  0.500  0.500
Ga  0.500  0.000  0.500

***

[3]
Here is a relaxed structure of NbV3Ga2 from Alexandria. Energies are from PBE.

Computed properties:
Crystal system: monoclinic
Space group: No. 12

a b c (Å): 6.737 6.737 8.804
angles (deg): 129.54 129.54 37.01
Fractional coordinates of all 12 atoms:
Nb  0.088  0.088  0.464
Nb  0.912  0.912  0.536
V  0.080  0.080  0.939
V  0.262  0.262  0.870
V  0.427  0.427  0.803
V  0.573  0.573  0.197
V  0.738  0.738  0.130
V  0.920  0.920  0.061
Ga  0.228  0.228  0.332
Ga  0.399  0.399  0.261
Ga  0.601  0.601  0.739
Ga  0.772  0.772  0.668

***

Going through the records in order, we get formation enthalpy at 0 K values of 0.022; -0.076; -0.161 eV per atom.
Going through the records in order, we get electronic total energy values of -0.3028; -0.3064; -0.2722 hartree per atom.
Going through the records in order, we get size of the total moment values of 0.00; 0.00; 0.00 μB/cell.